Ca7Mg: optimized geometry, PBE.

```
Ca7Mg
1.0
-0.006 -3.720 6.671
6.493 -2.951 2.733
3.337 3.125 6.118
Ca Mg
7 1
direct
0.500 0.000 0.500
0.500 0.500 0.000
0.500 0.000 0.000
0.500 0.500 0.500
0.000 0.500 0.500
0.000 0.500 0.000
0.000 0.000 0.500
0.000 0.000 0.000
```

Output
Formation energy from the elements in meV per atom: 18.0
Electronic total energy in eV per atom: -1.933
Volume in Å³ per cell: 315
Energy relative to the lowest polymorph listed for this composition in eV/f.u.: 0.14
SG: Fm-3m, No. 225

---

LiPm2Pa: optimized geometry, PBE.

```
LiPm2Pa
1.0
-2.580 -0.507 2.224
-2.087 -0.830 -2.611
2.528 -9.075 0.865
Pm Pa Li
2 1 1
direct
0.000 0.000 0.751
0.000 0.000 0.249
0.500 0.500 0.500
0.500 0.500 0.000
```

Output
Formation energy from the elements in meV per atom: 143.5
Electronic total energy in eV per atom: -5.084
Volume in Å³ per cell: 112
Energy relative to the lowest polymorph listed for this composition in eV/f.u.: 0.00
SG: P4/mmm, No. 123

---

CaHgI2: optimized geometry, PBE.

```
CaHgI2
1.0
0.000 4.073 4.073
4.073 0.000 4.073
4.073 4.073 0.000
I Ca Hg
2 1 1
direct
0.250 0.250 0.250
0.750 0.750 0.750
0.000 0.000 0.000
0.500 0.500 0.500
```

Output
Electronic total energy in eV per atom: -2.278
Volume in Å³ per cell: 135
Energy relative to the lowest polymorph listed for this composition in eV/f.u.: 1.04
SG: Fm-3m, No. 225

---

ZnTcP2: optimized geometry, PBE.

```
ZnTcP2
1.0
3.045 0.000 0.000
0.000 3.703 0.000
0.000 0.000 5.087
P Zn Tc
2 1 1
direct
0.500 0.500 0.311
0.000 0.000 0.957
0.500 0.500 0.795
0.000 0.000 0.438
```

Output
Formation energy from the elements in meV per atom: 68.3
Electronic total energy in eV per atom: -5.547
Volume in Å³ per cell: 57
SG: Pmm2, No. 25